## Cr2In2Cl7 (PBE)

Data for a relaxed structure of Cr2In2Cl7.

a b c (Å): 7.7023 14.6277 6.4329
angles (deg): 90.00 102.79 90.00
Space group C2/m (No. 12)
Unique sites:
Cr1 0.2266 0.0000 0.1222 x4
In1 0.0000 0.2036 0.5000 x4
Cl1 0.0000 0.5000 0.0000 x2
Cl2 0.0495 0.0000 0.7642 x4
Cl3 0.2360 0.3463 0.7893 x8

Properties
The uncorrected formation energy comes out at -0.868 eV/atom. Its distance to the lowest polymorph of the same formula is 0 meV/atom.